Entry 1:
An optimized crystal structure of TbGdAs2O2, computed with GGA-PBE.

Geometry as POSCAR:
```
TbGdAs2O2
1.0
-1.219 2.976 -4.599
4.600 -2.032 -2.495
-3.894 -5.547 -2.312
As Gd O Tb
4 2 4 2
Direct
0.269 0.019 0.499 As
0.769 0.520 0.499 As
0.233 0.483 0.502 As
0.733 0.982 0.502 As
0.505 0.253 0.155 Gd
0.994 0.246 0.845 Gd
0.750 0.999 0.001 O
0.250 0.501 0.001 O
0.749 0.500 0.999 O
0.249 0.998 0.999 O
0.005 0.753 0.153 Tb
0.494 0.746 0.847 Tb
```

Summary:
The calculated volume comes out at 18.787 Å³/atom. As for the density: 7336 kg/m³. The spin magnetization is 0.0 Bohr magnetons per cell. For the total energy, the calculation gives -7.09 eV/atom.

***

Entry 2:
An optimized crystal structure of LuZnOs, computed with GGA-PBE.

Geometry as POSCAR:
```
LuZnOs
1.0
-3.493 2.595 1.157
-2.004 2.588 -3.092
-4.140 -1.019 -1.449
Lu Os Zn
1 1 1
Direct
0.000 0.000 0.000 Lu
0.250 0.250 0.250 Os
0.750 0.750 0.750 Zn
```

Summary:
The calculated volume comes out at 21.519 Å³/atom. As for the density: 11076 kg/m³. The spin magnetization is 0.0 Bohr magnetons per cell. For the total energy, the calculation gives -4.91 eV/atom.

***

What is the formula in the first record?
TbGdAs2O2

***

Please write out number 2 again, unchanged.
An optimized crystal structure of LuZnOs, computed with GGA-PBE.

Geometry as POSCAR:
```
LuZnOs
1.0
-3.493 2.595 1.157
-2.004 2.588 -3.092
-4.140 -1.019 -1.449
Lu Os Zn
1 1 1
Direct
0.000 0.000 0.000 Lu
0.250 0.250 0.250 Os
0.750 0.750 0.750 Zn
```

Summary:
The calculated volume comes out at 21.519 Å³/atom. As for the density: 11076 kg/m³. The spin magnetization is 0.0 Bohr magnetons per cell. For the total energy, the calculation gives -4.91 eV/atom.